No. 1
Material: NaGeI2
Method: DFT, GGA-PBE
State: relaxed

Output
Distance to the lowest polymorph of the same formula (meV/atom): 65.6
SG: Fm-3m, No. 225
Energy relative to the elements, uncorrected (eV/atom): -0.24

Unit cell a=5.564 b=5.564 c=5.564 alpha=60.00 beta=60.00 gamma=60.00
Atoms (fractional coordinates):
I  0.750  0.750  0.750
I  0.250  0.250  0.250
Na  0.000  0.000  0.000
Ge  0.500  0.500  0.500

No. 2
Material: Cs2KBi3O8
Method: DFT, GGA-PBE
State: relaxed

Output
SG: R3m, No. 160
Energy relative to the elements, uncorrected (eV/atom): -1.13

Unit cell a=7.053 b=7.053 c=8.264 alpha=64.74 beta=64.74 gamma=60.00
Atoms (fractional coordinates):
O  0.673  0.236  0.856
O  0.236  0.236  0.856
O  0.236  0.673  0.856
O  0.324  0.757  0.161
O  0.757  0.757  0.161
O  0.276  0.276  0.172
O  0.757  0.324  0.161
O  0.720  0.720  0.841
Bi  0.498  0.997  0.007
Bi  0.997  0.498  0.007
Bi  0.498  0.498  0.007
Cs  0.125  0.125  0.625
Cs  0.498  0.498  0.507
K  0.898  0.898  0.306

No. 3
Material: Pm4Nd2SmY2
Method: DFT, GGA-PBE
State: relaxed

Output
SG: C2/m, No. 12
Formation enthalpy at 0 K (meV per atom): 15

Unit cell a=5.151 b=8.145 c=8.122 alpha=107.58 beta=90.00 gamma=108.43
Atoms (fractional coordinates):
Pm  0.222  0.443  0.332
Pm  0.444  0.889  0.668
Pm  0.556  0.111  0.332
Pm  0.778  0.557  0.668
Y  0.333  0.666  0.000
Y  0.667  0.334  0.000
Nd  0.111  0.222  0.667
Nd  0.889  0.778  0.333
Sm  0.000  0.000  0.000

No. 4
Material: Hf2V3Ga5
Method: DFT, GGA-PBE
State: relaxed

Output
SG: Ibam, No. 72
Formation enthalpy at 0 K (meV per atom): -129

Unit cell a=5.179 b=8.750 c=8.750 alpha=66.04 beta=72.78 gamma=72.78
Atoms (fractional coordinates):
Ga  0.750  0.500  0.500
Ga  0.250  0.500  0.500
Ga  0.075  0.134  0.716
Ga  0.564  0.186  0.186
Ga  0.064  0.186  0.186
Ga  0.936  0.814  0.814
Ga  0.436  0.814  0.814
Ga  0.575  0.716  0.134
Ga  0.925  0.866  0.284
Ga  0.425  0.284  0.866
V  0.750  0.000  0.000
V  0.339  0.602  0.719
V  0.161  0.281  0.398
V  0.250  0.000  0.000
V  0.839  0.719  0.602
V  0.661  0.398  0.281
Hf  0.347  0.883  0.423
Hf  0.847  0.423  0.883
Hf  0.153  0.577  0.117
Hf  0.653  0.117  0.577

No. 5
Material: La2Ir3
Method: DFT, GGA-PBE
State: relaxed

Output
SG: P-3m1, No. 164
Formation enthalpy at 0 K (meV per atom): -354

Unit cell a=4.502 b=4.502 c=7.872 alpha=90.00 beta=90.00 gamma=120.00
Atoms (fractional coordinates):
La  0.333  0.667  0.726
La  0.667  0.333  0.274
Ir  0.667  0.333  0.928
Ir  0.000  0.000  0.000
Ir  0.333  0.667  0.072

No. 6
Material: GdHS
Method: DFT, GGA-PBE
State: relaxed

Output
SG: Cmme, No. 67
VASP energy (eV for the cell shown): -50.26

Unit cell a=4.901 b=4.909 c=5.474 alpha=90.00 beta=90.00 gamma=95.23
Each line ends with the local moment (μB).
Atoms (fractional coordinates):
H  0.003  0.503  0.000  -0.01
H  0.503  0.003  0.000  -0.01
Gd  0.253  0.753  0.277  6.95
Gd  0.753  0.253  0.723  6.95
S  0.753  0.753  0.501  -0.01
S  0.253  0.253  0.499  -0.01

No. 7
Material: SrTeH3
Method: DFT, GGA-PBE
State: relaxed

Output
Distance to the lowest polymorph of the same formula (meV/atom): 544.8
SG: Pm-3m, No. 221

Unit cell a=4.358 b=4.358 c=4.358 alpha=90.00 beta=90.00 gamma=90.00
Atoms (fractional coordinates):
Sr  0.500  0.500  0.500
H  0.500  0.000  0.000
H  0.000  0.000  0.500
H  0.000  0.500  0.000
Te  0.000  0.000  0.000

No. 8
Material: Dy5IrPd4
Method: DFT, GGA-PBE
State: relaxed

Output
SG: P4/mmm, No. 123
Formation enthalpy at 0 K (meV per atom): -883

Unit cell a=3.461 b=3.461 c=17.800 alpha=90.00 beta=90.00 gamma=90.00
Atoms (fractional coordinates):
Dy  0.500  0.500  0.907
Dy  0.500  0.500  0.093
Dy  0.500  0.500  0.702
Dy  0.500  0.500  0.500
Dy  0.500  0.500  0.298
Pd  0.000  0.000  0.601
Pd  0.000  0.000  0.199
Pd  0.000  0.000  0.801
Pd  0.000  0.000  0.399
Ir  0.000  0.000  0.000